Record 1
# Mn2InAg

A relaxed structure of Mn2InAg (GGA-PBE, the Alexandria database). Values from VASP.

Structure (Quantum ESPRESSO input):
```
&SYSTEM
  ibrav = 0, nat = 4, ntyp = 3
/
ATOMIC_SPECIES
Mn 54.94 Mn.upf
In 114.82 In.upf
Ag 107.87 Ag.upf
CELL_PARAMETERS angstrom
-1.555 2.331 4.737
1.555 -2.331 4.737
1.555 2.331 -4.737
ATOMIC_POSITIONS crystal
Mn 0.000 0.000 0.000
Mn 0.766 0.266 0.500
In 0.506 0.506 0.000
Ag 0.247 0.747 0.500
```



Record 2
# MnIn2Ag2

A relaxed structure of MnIn2Ag2 (GGA-PBE, the Alexandria database). Values from VASP.

Structure (Quantum ESPRESSO input):
```
&SYSTEM
  ibrav = 0, nat = 10, ntyp = 3
/
ATOMIC_SPECIES
Mn 54.94 Mn.upf
In 114.82 In.upf
Ag 107.87 Ag.upf
CELL_PARAMETERS angstrom
7.509 0.000 0.000
0.000 7.509 0.000
0.000 0.000 3.731
ATOMIC_POSITIONS crystal
Mn 0.000 0.000 0.000
Mn 0.500 0.500 0.000
In 0.171 0.329 0.500
In 0.329 0.829 0.500
In 0.671 0.171 0.500
In 0.829 0.671 0.500
Ag 0.133 0.633 0.000
Ag 0.367 0.133 0.000
Ag 0.633 0.867 0.000
Ag 0.867 0.367 0.000
```



Record 3
# MnIn3Ag

A relaxed structure of MnIn3Ag (GGA-PBE, the Alexandria database). Values from VASP.

Structure (Quantum ESPRESSO input):
```
&SYSTEM
  ibrav = 0, nat = 5, ntyp = 3
/
ATOMIC_SPECIES
Mn 54.94 Mn.upf
In 114.82 In.upf
Ag 107.87 Ag.upf
CELL_PARAMETERS angstrom
5.290 0.000 0.000
0.000 5.290 0.000
0.000 0.000 5.290
ATOMIC_POSITIONS crystal
Mn 0.000 0.000 0.000
In 0.000 0.500 0.500
In 0.500 0.000 0.500
In 0.500 0.500 0.000
Ag 0.500 0.500 0.500
```



Record 4
# MnInAg2

A relaxed structure of MnInAg2 (GGA-PBE, the Alexandria database). Values from VASP.

Structure (Quantum ESPRESSO input):
```
&SYSTEM
  ibrav = 0, nat = 4, ntyp = 3
/
ATOMIC_SPECIES
Mn 54.94 Mn.upf
In 114.82 In.upf
Ag 107.87 Ag.upf
CELL_PARAMETERS angstrom
4.827 -1.580 0.000
4.827 1.580 0.000
-1.147 0.000 4.845
ATOMIC_POSITIONS crystal
Mn 0.000 0.000 0.000
In 0.250 0.250 0.736
Ag 0.497 0.497 0.487
Ag 0.745 0.745 0.228
```



Number 1: ΔE_f 0.291 eV per atom, calculated total energy -22.76 eV per cell. Number 2: ΔE_f 0.264 eV per atom, calculated total energy -38.06 eV per cell. Number 3: ΔE_f 0.653 eV per atom, calculated total energy -16.97 eV per cell. Number 4: ΔE_f 0.171 eV per atom, calculated total energy -16.93 eV per cell.